The following is a DFT calculation (GGA+U) of an optimized crystal structure of CaTl2MoF6.

Computed properties:
energy	-4.92	eV/atom
density of states at the Fermi level	1.58	states/eV per cell
symmetry	Immm

Unit cell a=6.285 b=6.285 c=6.285 alpha=122.94 beta=116.01 gamma=91.01
Atoms (fractional coordinates):
Ca1 0.000 0.000 0.000
Tl1 0.265 0.765 0.500
Tl2 0.735 0.235 0.500
Mo1 0.500 0.500 0.000
F1 0.238 0.268 0.506
F2 0.238 0.732 0.970
F3 0.256 0.256 0.000
F4 0.744 0.744 0.000
F5 0.762 0.268 0.030
F6 0.762 0.732 0.494